Zn2CoI | GGA-PBE | optimized geometry

Summary:
Formation energy without anion corrections = 888 meV/atom
Polymorph energy (0 for the lowest one) = 6.406 kcal/mol of atoms
Volume = 72.4 Å³/cell
Uncorrected energy = -1.91 eV per atom
Magnetic moment = 0.00 μB/cell

The structure in CIF format:
```
data_Zn2CoI
_chemical_formula_sum 'Zn2 Co1 I1'
_space_group_name_H-M_alt 'P 1'
_space_group_IT_number 1
_cell_length_a 4.6784
_cell_length_b 4.6784
_cell_length_c 4.6784
_cell_angle_alpha 60.00
_cell_angle_beta 60.00
_cell_angle_gamma 60.00
loop_
_space_group_symop_operation_xyz
'x,y,z'
loop_
_atom_site_label
_atom_site_fract_x
_atom_site_fract_y
_atom_site_fract_z
Zn1 0.2500 0.2500 0.2500
Zn2 0.7500 0.7500 0.7500
Co1 0.0000 0.0000 0.0000
I1 0.5000 0.5000 0.5000
```

Rb4Mn3Br10 | GGA-PBE | optimized geometry

Summary:
Formation energy without anion corrections = -1231 meV/atom
Volume = 562.7 Å³/cell
Uncorrected energy = -4.06 eV per atom
Magnetic moment = 15.00 μB/cell

The structure in CIF format:
```
data_Rb4Mn3Br10
_chemical_formula_sum 'Rb4 Mn3 Br10'
_space_group_name_H-M_alt 'P 1'
_space_group_IT_number 1
_cell_length_a 19.6707
_cell_length_b 19.6707
_cell_length_c 19.6707
_cell_angle_alpha 164.22
_cell_angle_beta 164.22
_cell_angle_gamma 22.39
loop_
_space_group_symop_operation_xyz
'x,y,z'
loop_
_atom_site_label
_atom_site_fract_x
_atom_site_fract_y
_atom_site_fract_z
Rb1 0.0679 0.0679 0.0000
Rb2 0.1997 0.1997 0.0000
Rb3 0.8003 0.8003 0.0000
Rb4 0.9321 0.9321 0.0000
Mn1 0.3579 0.3579 0.0000
Mn2 0.5000 0.5000 0.0000
Mn3 0.6421 0.6421 0.0000
Br1 0.0000 0.5000 0.5000
Br2 0.1384 0.6384 0.5000
Br3 0.2900 0.2900 0.0000
Br4 0.3616 0.8616 0.5000
Br5 0.4301 0.4301 0.0000
Br6 0.5000 0.0000 0.5000
Br7 0.5699 0.5699 0.0000
Br8 0.6384 0.1384 0.5000
Br9 0.7100 0.7100 0.0000
Br10 0.8616 0.3616 0.5000
```

Li3Cu6Ni | GGA-PBE | optimized geometry

Summary:
Polymorph energy (0 for the lowest one) = 2.431 kcal/mol of atoms
Volume = 120.7 Å³/cell
Uncorrected energy = -3.54 eV per atom
Energy relative to the elements = 0.074 eV/atom
Magnetic moment = 0.00 μB/cell

The structure in CIF format:
```
data_Li3Cu6Ni
_chemical_formula_sum 'Li3 Cu6 Ni1'
_space_group_name_H-M_alt 'P 1'
_space_group_IT_number 1
_cell_length_a 4.7050
_cell_length_b 4.7050
_cell_length_c 6.5376
_cell_angle_alpha 106.65
_cell_angle_beta 106.65
_cell_angle_gamma 62.22
loop_
_space_group_symop_operation_xyz
'x,y,z'
loop_
_atom_site_label
_atom_site_fract_x
_atom_site_fract_y
_atom_site_fract_z
Li1 0.0000 0.0000 0.0000
Li2 0.0695 0.0695 0.6856
Li3 0.9305 0.9305 0.3144
Cu1 0.0650 0.5625 0.6963
Cu2 0.3708 0.3708 0.0836
Cu3 0.4375 0.9350 0.3037
Cu4 0.5625 0.0650 0.6963
Cu5 0.6292 0.6292 0.9164
Cu6 0.9350 0.4375 0.3037
Ni1 0.5000 0.5000 0.5000
```

Nb2PbBr6 | GGA-PBE | optimized geometry

Summary:
Formation energy without anion corrections = -746 meV/atom
Volume = 253.2 Å³/cell
Uncorrected energy = -4.51 eV per atom
Magnetic moment = 0.00 μB/cell

The structure in CIF format:
```
data_Nb2PbBr6
_chemical_formula_sum 'Nb2 Pb1 Br6'
_space_group_name_H-M_alt 'P 1'
_space_group_IT_number 1
_cell_length_a 3.5688
_cell_length_b 7.4685
_cell_length_c 9.7410
_cell_angle_alpha 82.80
_cell_angle_beta 79.49
_cell_angle_gamma 89.89
loop_
_space_group_symop_operation_xyz
'x,y,z'
loop_
_atom_site_label
_atom_site_fract_x
_atom_site_fract_y
_atom_site_fract_z
Nb1 0.1949 0.0427 0.1104
Nb2 0.8051 0.9573 0.8896
Pb1 0.5000 0.5000 0.5000
Br1 0.1022 0.2996 0.2950
Br2 0.2425 0.7308 0.0173
Br3 0.4018 0.1241 0.6941
Br4 0.5982 0.8759 0.3059
Br5 0.7575 0.2692 0.9827
Br6 0.8978 0.7004 0.7050
```

Which formula does entry 1 have?
Zn2CoI